# 1
Computed, not measured: a crystal of Be2Nb2Sn relaxed with PBEsol at the meta-GGA SCAN level of DFT.

Cell and atoms, written as POSCAR:
```
Be2Nb2Sn
1.0
3.594 0.000 0.000
0.000 6.290 0.000
0.000 0.000 6.290
Be Nb Sn
4 4 2
Cartesian
0.000 2.432 5.577
0.000 5.577 3.858
0.000 3.858 0.713
0.000 0.713 2.432
1.797 1.104 4.249
1.797 4.249 5.186
1.797 5.186 2.041
1.797 2.041 1.104
0.000 0.000 0.000
0.000 3.145 3.145
```

- DFT formation energy: -0.18 eV/atom
- SG: P4/mbm (127)
- Magnetization: 0.000 μB/f.u.
- Fermi-level density of states: 5.106 states/eV per cell


# 2
Computed, not measured: a crystal of Mn2CrSi relaxed with PBEsol at the meta-GGA SCAN level of DFT.

Cell and atoms, written as POSCAR:
```
Mn2CrSi
1.0
-1.064 -2.129 1.423
2.558 -0.957 0.481
0.246 3.018 4.700
Cr Mn Si
1 2 1
Cartesian
0.933 0.745 4.515
0.244 2.994 4.663
0.810 -0.773 2.150
0.121 1.493 2.325
```

- SG: P4mm (99)
- Magnetization: 0.127 μB/f.u.
- Fermi-level density of states: 3.379 states/eV per cell
- Energy relative to the elements, uncorrected: -0.178 eV per atom


# 3
Computed, not measured: a crystal of SiSbH3 relaxed with PBEsol at the meta-GGA SCAN level of DFT.

Cell and atoms, written as POSCAR:
```
SiSbH3
1.0
-2.000 -0.042 3.386
1.955 -3.226 1.114
2.765 2.249 1.661
Sb Si H
1 1 3
Cartesian
0.000 0.000 0.000
1.360 -0.509 3.081
0.977 -1.613 0.557
1.383 1.125 0.831
-1.000 -0.021 1.693
```

- SG: Pm-3m (221)
- Magnetization: 0.001 μB/f.u.
- Total DFT energy (no corrections): -10.4524 eV/atom
- Fermi-level density of states: 2.055 states/eV per cell


# 4
Computed, not measured: a crystal of Ba5Al2In2IrClO13 relaxed with PBEsol at the meta-GGA SCAN level of DFT.

Cell and atoms, written as POSCAR:
```
Ba5Al2In2IrClO13
1.0
-5.522 -1.838 0.635
4.047 -3.603 -2.215
5.417 -8.227 23.280
Ba Al In Ir Cl O
10 4 4 2 2 26
Cartesian
4.063 -6.170 17.460
0.162 -6.214 10.403
6.060 -10.916 21.093
1.569 -4.095 1.793
2.374 -9.573 19.907
1.088 -7.620 14.383
3.781 -7.454 11.297
2.855 -6.047 7.317
-2.117 -2.752 0.607
1.354 -2.057 5.820
5.290 -9.746 17.783
-0.608 -5.044 7.094
-1.347 -3.921 3.917
4.551 -8.623 14.607
3.315 -5.034 14.244
2.103 -3.193 9.036
0.606 -0.920 2.604
4.811 -7.307 20.676
0.000 0.000 0.000
2.709 -4.114 11.640
1.731 -8.596 17.145
2.212 -5.071 4.555
0.659 -4.090 7.858
4.921 -9.185 16.195
4.069 -8.971 22.028
5.947 -8.691 13.536
-3.028 -3.421 3.763
2.813 -3.718 -0.666
5.007 -7.051 8.764
-1.076 -5.159 2.694
-0.127 -4.696 -0.328
-1.064 -6.617 12.936
3.285 -11.867 21.187
6.971 -10.246 17.938
0.658 -1.800 0.513
-0.978 -4.483 5.505
3.283 -9.577 13.842
4.308 -11.133 18.244
-0.365 -2.535 3.456
2.853 -5.133 9.944
1.090 -8.535 11.757
1.130 -9.949 22.366
5.019 -8.508 19.006
-2.004 -4.977 8.165
-0.052 -6.715 7.096
1.875 -5.639 12.598
2.068 -8.029 9.103
3.995 -6.953 14.604
```

- SG: P6_3/mmc (194)
- Magnetization: 2.017 μB/f.u.
- Energy relative to the elements, uncorrected: -2.580 eV per atom


# 5
Computed, not measured: a crystal of LaCrP relaxed with PBEsol at the meta-GGA SCAN level of DFT.

Cell and atoms, written as POSCAR:
```
LaCrP
1.0
4.806 0.000 0.000
2.403 4.162 0.000
2.403 1.387 3.924
Cr La P
1 1 1
Cartesian
4.806 2.775 1.962
2.403 1.387 0.981
0.000 0.000 0.000
```

- DFT formation energy: -0.01 eV/atom
- SG: F-43m (216)
- Magnetization: 5.615 μB/f.u.
- Fermi-level density of states: 1.293 states/eV per cell


# 6
Computed, not measured: a crystal of AlGaBr2N relaxed with PBEsol at the meta-GGA SCAN level of DFT.

Cell and atoms, written as POSCAR:
```
AlGaBr2N
1.0
-3.439 -0.197 -0.087
0.096 -3.639 4.419
-0.345 4.408 3.638
N Ga Br Al
1 1 2 1
Cartesian
0.000 0.000 0.000
-1.844 0.286 3.985
-0.173 2.204 1.819
0.048 -1.820 2.210
-1.719 -0.099 -0.044
```

- SG: P4/mmm (123)
- Magnetization: 0.001 μB/f.u.
- Fermi-level density of states: 1.743 states/eV per cell
- Energy relative to the elements, uncorrected: 0.060 eV per atom


# 7
Computed, not measured: a crystal of Nb2PbClF relaxed with PBEsol at the meta-GGA SCAN level of DFT.

Cell and atoms, written as POSCAR:
```
Nb2PbClF
1.0
4.217 0.000 0.000
0.000 4.217 0.000
0.000 0.000 5.672
Pb Nb F Cl
1 2 1 1
Cartesian
0.000 0.000 2.836
0.000 2.108 0.000
2.108 0.000 0.000
0.000 0.000 0.000
2.108 2.108 2.836
```

- SG: P4/mmm (123)
- Magnetization: 0.007 μB/f.u.
- Fermi-level density of states: 4.218 states/eV per cell
- Energy relative to the elements, uncorrected: 0.257 eV per atom


# 8
Computed, not measured: a crystal of SrCaSbTe2 relaxed with PBEsol at the meta-GGA SCAN level of DFT.

Cell and atoms, written as POSCAR:
```
SrCaSbTe2
1.0
5.775 0.000 0.000
0.000 5.956 0.000
0.000 0.000 5.956
Sb Ca Te Sr
1 1 2 1
Cartesian
2.888 0.000 0.000
2.888 2.978 2.978
0.000 0.000 2.978
0.000 2.978 0.000
0.000 0.000 0.000
```

- SG: P4/mmm (123)
- Magnetization: 0.001 μB/f.u.
- Fermi-level density of states: 3.931 states/eV per cell
- Energy relative to the elements, uncorrected: -0.194 eV per atom


# 9
Computed, not measured: a crystal of P2OsPt relaxed with PBEsol at the meta-GGA SCAN level of DFT.

Cell and atoms, written as POSCAR:
```
P2OsPt
1.0
-1.240 1.806 -1.749
-4.245 -0.655 2.334
3.670 2.545 2.271
Os P Pt
1 2 1
Cartesian
-2.122 -0.328 1.167
-2.302 2.056 1.509
0.487 1.639 1.347
-0.620 0.903 -0.874
```

- DFT formation energy: 0.54 eV/atom
- SG: Immm (71)
- Magnetization: 0.000 μB/f.u.
- Fermi-level density of states: 2.967 states/eV per cell


# 10
Computed, not measured: a crystal of KLa2Ta relaxed with PBEsol at the meta-GGA SCAN level of DFT.

Cell and atoms, written as POSCAR:
```
KLa2Ta
1.0
-1.954 0.237 2.589
0.807 -2.964 -1.070
10.097 -0.001 7.620
K La Ta
1 2 1
Cartesian
2.223 -1.363 2.870
9.867 -0.001 7.447
6.711 -1.363 6.257
5.294 0.000 3.995
```

- DFT formation energy: 0.78 eV/atom
- SG: Cmm2 (35)
- Magnetization: 0.000 μB/f.u.
- Fermi-level density of states: 5.670 states/eV per cell


# 11
Computed, not measured: a crystal of TcSbPO2 relaxed with PBEsol at the meta-GGA SCAN level of DFT.

Cell and atoms, written as POSCAR:
```
TcSbPO2
1.0
-3.657 -0.900 0.483
0.807 -3.647 -0.683
0.845 -0.749 4.997
Sb Tc O P
1 1 2 1
Cartesian
-1.002 -2.648 2.399
0.000 0.000 0.000
0.404 -1.823 -0.341
-1.828 -0.450 0.242
0.422 -0.374 2.498
```

- SG: P4/mmm (123)
- Magnetization: 0.680 μB/f.u.
- Fermi-level density of states: 3.444 states/eV per cell
- Energy relative to the elements, uncorrected: -0.555 eV per atom


# 12
Computed, not measured: a crystal of ZnHg2Rh relaxed with PBEsol at the meta-GGA SCAN level of DFT.

Cell and atoms, written as POSCAR:
```
ZnHg2Rh
1.0
3.968 0.000 0.000
0.000 3.968 0.000
-1.984 -1.984 4.264
Hg Rh Zn
2 1 1
Cartesian
1.984 0.000 2.132
0.000 1.984 2.132
1.984 1.984 0.000
0.000 0.000 0.000
```

- DFT formation energy: 0.11 eV/atom
- SG: I4/mmm (139)
- Magnetization: 0.000 μB/f.u.
- Fermi-level density of states: 1.533 states/eV per cell